# NaIrRu, relaxed, DFT PBE-GGA
# Calculated volume (Å³ per cell): 122.77
# E above lowest polymorph (eV per atom): 0.0279
data_NaIrRu
_chemical_formula_sum 'Na2 Ir2 Ru2'
_cell_length_a 5.281
_cell_length_b 3.948
_cell_length_c 6.033
_cell_angle_alpha 90.00
_cell_angle_beta 102.59
_cell_angle_gamma 90.00
_symmetry_space_group_name_H-M 'P 1 m 1'
_symmetry_Int_Tables_number 6
loop_
_symmetry_equiv_pos_as_xyz
'x,y,z'
'x,-y,z'
loop_
_atom_site_label
_atom_site_type_symbol
_atom_site_fract_x
_atom_site_fract_y
_atom_site_fract_z
Na1 Na 0.000 0.000 0.000
Na2 Na 0.478 0.500 0.891
Ir1 Ir 0.140 0.000 0.521
Ir2 Ir 0.848 0.500 0.373
Ru1 Ru 0.353 0.500 0.368
Ru2 Ru 0.634 0.000 0.519